No. 1
This record from Alexandria via LeMat-Bulk describes a relaxed structure of YErTlZn. The functional is PBE.

It has space group P4mm (No. 99), with a = 3.6579 Å, b = 3.6579 Å, c = 7.3881 Å, α = 90.00°, β = 90.00° and γ = 90.00°. The asymmetric unit holds Y at (0.0000, 0.0000, 0.0000), Er at (0.0000, 0.0000, 0.5415), Tl at (0.5000, 0.5000, 0.2745) and Zn at (0.5000, 0.5000, 0.7653).

For the distance to the lowest polymorph of the same formula, the calculation gives 0 meV/atom. Its formation energy is -0.360 eV/atom. The crystal system is tetragonal.

=====

No. 2
This record from Alexandria via LeMat-Bulk describes a relaxed structure of KNiSb2. The functional is PBE.

It has space group C2/m (No. 12), with a = 6.3536 Å, b = 9.5832 Å, c = 3.1836 Å, α = 90.00°, β = 90.58° and γ = 90.00°. The asymmetric unit holds K at (0.0000, 0.0000, 0.0000), Ni at (0.0000, 0.5000, 0.0000) and Sb at (0.2500, 0.2500, 0.5000).

For the distance to the lowest polymorph of the same formula, the calculation gives 646 meV/atom. The crystal system is monoclinic. The calculation puts the energy relative to the elements, uncorrected at 354.6 meV per atom.

=====

No. 3
This record from Alexandria via LeMat-Bulk describes a relaxed structure of SmZr4Ge4. The functional is PBE.

It has space group P4_2/n (No. 86, origin choice 2), with a = 8.9362 Å, b = 8.9362 Å, c = 5.3935 Å, α = 90.00°, β = 90.00° and γ = 90.00°. The asymmetric unit holds Sm at (0.2500, 0.2500, 0.2500), Zr at (0.1086, 0.6363, 0.1392) and Ge at (0.0511, 0.6009, 0.6507).

Its formation energy is -0.547 eV/atom. The crystal system is tetragonal.

=====

No. 4
This record from Alexandria via LeMat-Bulk describes a relaxed structure of Hg2WBr. The functional is PBE.

It has space group R-3m (No. 166, hexagonal axes), with a = 3.2886 Å, b = 3.2886 Å, c = 27.4279 Å, α = 90.00°, β = 90.00° and γ = 120.00°. The asymmetric unit holds Hg at (0.0000, 0.0000, 0.2458), W at (0.0000, 0.0000, 0.5000) and Br at (0.0000, 0.0000, 0.0000).

For the distance to the lowest polymorph of the same formula, the calculation gives 208 meV/atom. The crystal system is trigonal. The calculation puts the energy relative to the elements, uncorrected at 704.2 meV per atom.

=====

No. 5
This record from Alexandria via LeMat-Bulk describes a relaxed structure of TiNi2Bi2. The functional is PBE.

It has space group P4/mbm (No. 127), with a = 6.9533 Å, b = 6.9533 Å, c = 3.8269 Å, α = 90.00°, β = 90.00° and γ = 90.00°. The asymmetric unit holds Ti at (0.0000, 0.0000, 0.0000), Ni at (0.1239, 0.3761, 0.0000) and Bi at (0.1791, 0.6791, 0.5000).

For the distance to the lowest polymorph of the same formula, the calculation gives 0 meV/atom. Its formation energy is 0.060 eV/atom. The crystal system is tetragonal.

=====

No. 6
This record from Alexandria via LeMat-Bulk describes a relaxed structure of Ho12Tm3Cd. The functional is PBE.

It has space group P4/mmm (No. 123), with a = 4.9218 Å, b = 4.9218 Å, c = 19.8892 Å, α = 90.00°, β = 90.00° and γ = 90.00°. The asymmetric unit holds Ho at (0.0000, 0.0000, 0.0000), Ho at (0.0000, 0.0000, 0.2452), Ho at (0.0000, 0.0000, 0.5000), Ho at (0.0000, 0.5000, 0.1222), Ho at (0.0000, 0.5000, 0.3736), Tm at (0.5000, 0.5000, 0.2481), Tm at (0.5000, 0.5000, 0.5000) and Cd at (0.5000, 0.5000, 0.0000).

Its formation energy is -0.003 eV/atom. The crystal system is tetragonal.

=====

| no. | magnetic moment (μB per cell) |
| --- | --- |
| 1 | 0.0 |
| 2 | 0.0 |
| 3 | 0.0 |
| 4 | 0.0 |
| 5 | 0.0 |
| 6 | 0.0 |